A relaxed Ho2GaHg2 crystal. Source: Alexandria via LeMat-Bulk, functional PBE-GGA.

The formation energy is -0.454 eV/atom. For the calculated volume, the calculation gives 24.10 Å³/atom.

a b c (Å): 4.363 5.965 10.216
angles (deg): 89.68 77.67 68.55
Fractional coordinates of all 10 atoms:
Ho: 0.923 0.261 0.893
Ho: 0.672 0.325 0.331
Ga: 0.395 0.892 0.317
Hg: 0.097 0.252 0.553
Ho: 0.077 0.739 0.107
Hg: 0.345 0.198 0.112
Ho: 0.328 0.675 0.669
Ga: 0.605 0.108 0.683
Hg: 0.903 0.748 0.447
Hg: 0.655 0.802 0.888



A relaxed Sc2NbV crystal. Source: Alexandria via LeMat-Bulk, functional PBE-GGA.

The formation energy is 0.290 eV/atom. For the calculated volume, the calculation gives 20.15 Å³/atom.

a b c (Å): 4.849 4.849 4.849
angles (deg): 60.00 60.00 60.00
Fractional coordinates of all 4 atoms:
Sc: 0.250 0.250 0.250
Sc: 0.750 0.750 0.750
V: 0.000 0.000 0.000
Nb: 0.500 0.500 0.500